Entry 1:
LiDyGe | PBE-GGA | relaxed

Uncorrected energy: -4.404 eV/atom

a = 7.135 Å, b = 4.239 Å, c = 8.061 Å
α = 90.00°, β = 90.00°, γ = 90.00°
Space group Pnma (No. 62)
Symmetry-distinct sites (fractional):
Li  0.144  0.250  0.056
Dy  0.026  0.250  0.691
Ge  0.243  0.750  0.882

Entry 2:
LiDyGe | PBE-GGA | relaxed

Uncorrected energy: -4.152 eV/atom

a = 6.217 Å, b = 6.217 Å, c = 6.217 Å
α = 90.00°, β = 90.00°, γ = 90.00°
Space group F-43m (No. 216)
Symmetry-distinct sites (fractional):
Li  0.000  0.000  0.000
Dy  0.250  0.250  0.750
Ge  0.250  0.250  0.250

Entry 3:
LiDyGe | PBE-GGA | relaxed

Uncorrected energy: -4.409 eV/atom

a = 7.127 Å, b = 4.290 Å, c = 7.859 Å
α = 90.00°, β = 90.00°, γ = 90.00°
Space group Pnma (No. 62)
Symmetry-distinct sites (fractional):
Li  0.155  0.250  0.067
Dy  0.014  0.250  0.702
Ge  0.236  0.750  0.896

Entry 4:
LiDyGe | PBE-GGA | relaxed

Uncorrected energy: -3.788 eV/atom

a = 6.654 Å, b = 6.654 Å, c = 6.654 Å
α = 90.00°, β = 90.00°, γ = 90.00°
Space group F-43m (No. 216)
Symmetry-distinct sites (fractional):
Li  0.000  0.000  0.000
Dy  0.250  0.250  0.750
Ge  0.000  0.000  0.500

Entry 5:
LiDyGe | PBE-GGA | relaxed

Uncorrected energy: -4.407 eV/atom

a = 7.136 Å, b = 4.362 Å, c = 7.630 Å
α = 90.00°, β = 90.00°, γ = 90.00°
Space group Pnma (No. 62)
Symmetry-distinct sites (fractional):
Li  0.187  0.250  0.080
Dy  0.007  0.250  0.722
Ge  0.235  0.750  0.911

Entry 6:
LiDyGe | PBE-GGA | relaxed

Uncorrected energy: -4.131 eV/atom

a = 7.7506 Å, b = 7.7506 Å, c = 3.9664 Å
α = 90.00°, β = 90.00°, γ = 120.00°
Space group P-62m (No. 189)
Symmetry-distinct sites (fractional):
Li  0.0000  0.6028  0.0000
Dy  0.0000  0.2718  0.5000
Ge  0.0000  0.0000  0.0000
Ge  0.3333  0.6667  0.5000

Entry 7:
LiDyGe | PBE-GGA | relaxed

Uncorrected energy: -4.398 eV/atom

a = 4.3950 Å, b = 4.3950 Å, c = 7.1511 Å
α = 90.00°, β = 90.00°, γ = 120.00°
Space group P6_3/mmc (No. 194)
Symmetry-distinct sites (fractional):
Li  0.3333  0.6667  0.2500
Dy  0.0000  0.0000  0.0000
Ge  0.3333  0.6667  0.7500

Entry 8:
LiDyGe | PBE-GGA | relaxed

Uncorrected energy: -4.428 eV/atom

a = 7.0532 Å, b = 7.0532 Å, c = 4.2412 Å
α = 90.00°, β = 90.00°, γ = 120.00°
Space group P-62m (No. 189)
Symmetry-distinct sites (fractional):
Li  0.0000  0.2343  0.0000
Dy  0.0000  0.5769  0.5000
Ge  0.0000  0.0000  0.5000
Ge  0.3333  0.6667  0.0000

Entry 9:
LiDyGe | PBE-GGA | relaxed

Uncorrected energy: -4.365 eV/atom

a = 4.9434 Å, b = 4.9434 Å, c = 5.9280 Å
α = 90.00°, β = 90.00°, γ = 120.00°
Space group P6_3/mmc (No. 194)
Symmetry-distinct sites (fractional):
Li  0.0000  0.0000  0.0000
Dy  0.3333  0.6667  0.2500
Ge  0.3333  0.6667  0.7500

Entry 10:
LiDyGe | PBE-GGA | relaxed

Uncorrected energy: -4.399 eV/atom

a = 4.4056 Å, b = 4.4056 Å, c = 7.1624 Å
α = 90.00°, β = 90.00°, γ = 120.00°
Space group P6_3mc (No. 186)
Symmetry-distinct sites (fractional):
Li  0.3333  0.6667  0.0000
Dy  0.0000  0.0000  0.2273
Ge  0.3333  0.6667  0.4579

Entry 11:
DyLu2Ge4Pd4 | PBE-GGA | relaxed

Uncorrected energy: -5.711 eV/atom

a = 4.127 Å, b = 7.119 Å, c = 13.857 Å
α = 90.00°, β = 90.00°, γ = 90.00°
Space group Immm (No. 71)
Symmetry-distinct sites (fractional):
Dy  0.000  0.000  0.000
Lu  0.000  0.500  0.126
Ge  0.000  0.000  0.219
Ge  0.000  0.186  0.500
Pd  0.000  0.298  0.325

Entry 12:
DyLu2Ge4Pt4 | PBE-GGA | relaxed

Uncorrected energy: -6.107 eV/atom

a = 4.132 Å, b = 7.110 Å, c = 13.804 Å
α = 90.00°, β = 90.00°, γ = 90.00°
Space group Immm (No. 71)
Symmetry-distinct sites (fractional):
Dy  0.000  0.000  0.000
Lu  0.000  0.500  0.125
Ge  0.000  0.000  0.220
Ge  0.000  0.184  0.500
Pt  0.000  0.296  0.327

Entry 13:
TbDyMg2Ge2 | PBE-GGA | relaxed

Uncorrected energy: -4.257 eV/atom

a = 4.191 Å, b = 4.191 Å, c = 15.305 Å
α = 90.00°, β = 90.00°, γ = 90.00°
Space group I4mm (No. 107)
Symmetry-distinct sites (fractional):
Tb  0.000  0.000  0.000
Dy  0.000  0.000  0.339
Mg  0.000  0.500  0.170
Ge  0.000  0.000  0.534
Ge  0.000  0.000  0.805

Entry 14:
Dy2Ge4Mo3 | PBE-GGA | relaxed

Uncorrected energy: -7.220 eV/atom

a = 6.999 Å, b = 7.057 Å, c = 6.918 Å
α = 90.00°, β = 109.38°, γ = 90.00°
Space group P2_1/c (No. 14)
Symmetry-distinct sites (fractional):
Dy  0.190  0.171  0.057
Ge  0.091  0.546  0.860
Ge  0.497  0.637  0.633
Mo  0.249  0.659  0.248
Mo  0.500  0.000  0.500

Entry 15:
DyGeNO | PBE-GGA | relaxed

Distance to the lowest polymorph of the same formula: 272 meV per atom

a = 6.408 Å, b = 6.616 Å, c = 5.468 Å
α = 90.00°, β = 90.00°, γ = 90.00°
Space group Pca2_1 (No. 29)
Symmetry-distinct sites (fractional):
Dy  0.072  0.177  0.000
Ge  0.111  0.675  0.005
N  0.088  0.124  0.586
O  0.047  0.462  0.238

Entry 16:
DyGeNO | PBE-GGA | relaxed

Distance to the lowest polymorph of the same formula: 194 meV per atom

a = 3.287 Å, b = 5.422 Å, c = 6.047 Å
α = 90.00°, β = 90.00°, γ = 90.00°
Space group Pmc2_1 (No. 26)
Symmetry-distinct sites (fractional):
Dy  0.000  0.134  0.000
Ge  0.500  0.392  0.504
N  0.000  0.275  0.638
O  0.500  0.112  0.291

Entry 17:
DyGeNO | PBE-GGA | relaxed

Distance to the lowest polymorph of the same formula: 0 meV per atom

a = 5.530 Å, b = 8.108 Å, c = 5.267 Å
α = 90.00°, β = 90.00°, γ = 90.00°
Space group Pca2_1 (No. 29)
Symmetry-distinct sites (fractional):
Dy  0.009  0.137  0.000
Ge  0.047  0.612  0.008
N  0.109  0.589  0.629
O  0.247  0.993  0.248

Entry 18:
DyGeNO | PBE-GGA | relaxed

Distance to the lowest polymorph of the same formula: 531 meV per atom

a = 4.038 Å, b = 4.038 Å, c = 7.130 Å
α = 90.00°, β = 90.00°, γ = 90.00°
Space group P4/nmm (No. 129, origin choice 2)
Symmetry-distinct sites (fractional):
Dy  0.250  0.250  0.142
Ge  0.250  0.750  0.500
N  0.250  0.250  0.618
O  0.250  0.750  0.000

Entry 19:
DyGeNO | PBE-GGA | relaxed

Distance to the lowest polymorph of the same formula: 345 meV per atom

a = 4.764 Å, b = 4.764 Å, c = 4.847 Å
α = 90.00°, β = 90.00°, γ = 90.00°
Space group P4/nmm (No. 129, origin choice 2)
Symmetry-distinct sites (fractional):
Dy  0.250  0.750  0.000
Ge  0.250  0.250  0.487
N  0.250  0.250  0.094
O  0.250  0.750  0.500

Entry 20:
NaDyGeS3 | PBE-GGA | relaxed

Uncorrected energy: -4.854 eV/atom

a = 4.185 Å, b = 13.251 Å, c = 10.711 Å
α = 90.00°, β = 90.00°, γ = 90.00°
Space group Cmcm (No. 63)
Symmetry-distinct sites (fractional):
Na  0.000  0.239  0.250
Dy  0.000  0.500  0.000
Ge  0.000  0.032  0.750
S  0.000  0.133  0.552
S  0.000  0.422  0.750

Entry 21:
Dy2Nb3Ge4 | PBE-GGA | relaxed

Uncorrected energy: -7.186 eV/atom

a = 7.013 Å, b = 13.571 Å, c = 7.188 Å
α = 90.00°, β = 90.00°, γ = 90.00°
Space group Pnma (No. 62)
Symmetry-distinct sites (fractional):
Dy  0.002  0.095  0.173
Nb  0.160  0.627  0.328
Nb  0.165  0.250  0.512
Ge  0.040  0.250  0.879
Ge  0.173  0.042  0.539
Ge  0.196  0.750  0.638

Entry 22:
DyNb2Ge2Sb | PBE-GGA | relaxed

Uncorrected energy: -6.681 eV/atom

a = 4.065 Å, b = 4.065 Å, c = 7.877 Å
α = 90.00°, β = 90.00°, γ = 90.00°
Space group P4mm (No. 99)
Symmetry-distinct sites (fractional):
Dy  0.000  0.000  0.000
Nb  0.000  0.500  0.354
Ge  0.000  0.000  0.612
Ge  0.500  0.500  0.114
Sb  0.500  0.500  0.650